Compound: CuPt4Rh3
Source: the Alexandria database
Functional: PBE
Structure: relaxed

Cell: 11.6026 11.6026 11.6026 Å, 166.50 159.91 24.28°
Closest atoms and distances in Å follow each position.
Element x y z (fractional)
Cu: 0.0000 0.0000 0.0000  4 Rh 2.44, 2 Cu 2.73
Pt: 0.1593 0.6593 0.5000  6 Pt 2.73-2.79, 5 Rh 2.74-2.80
Pt: 0.4003 0.9003 0.5000  3 Rh 2.64-2.73, 6 Pt 2.73-2.79
Pt: 0.5997 0.0997 0.5000  3 Rh 2.64-2.73, 6 Pt 2.73-2.79
Pt: 0.8407 0.3407 0.5000  6 Pt 2.73-2.79, 5 Rh 2.74-2.80
Rh: 0.2802 0.7802 0.5000  6 Pt 2.73-2.80, 6 Rh 2.73-2.80
Rh: 0.5000 0.5000 0.0000  4 Cu 2.44, 4 Pt 2.64, 2 Rh 2.73
Rh: 0.7198 0.2198 0.5000  6 Pt 2.73-2.80, 6 Rh 2.73-2.80

Results
space-group type	Immm
E above lowest polymorph	54	meV/atom